The following is a DFT calculation (PBEsol) of an optimized crystal structure of BaP2Ru2.

As for the symmetry: I4/mmm. The calculation puts the density of states at the Fermi level at 0.332 states/eV per atom. The energy of formation from the pure elements is -21.9 kcal/mol of atoms.

Cell and atoms, written as POSCAR:
```
BaP2Ru2
1.0
-2.007 2.007 5.989
2.007 -2.007 5.989
2.007 2.007 -5.989
Ba P Ru
1 2 2
Cartesian
0.000 0.000 0.000
0.000 0.000 4.128
0.000 0.000 7.850
2.007 0.000 2.995
0.000 2.007 2.995
```

---

The following is a DFT calculation (PBEsol) of an optimized crystal structure of SiTc2Hg.

The calculation puts the distance to the lowest polymorph of the same formula at 113 meV per atom. As for the symmetry: Cmmm. The calculation puts the density of states at the Fermi level at 0.897 states/eV per atom. For the raw formation energy, the calculation gives 0.219 eV per atom.

Cell and atoms, written as POSCAR:
```
SiTc2Hg
1.0
1.543 -2.341 0.000
1.543 2.341 0.000
0.000 0.000 8.427
Si Tc Hg
1 2 1
Cartesian
0.000 0.000 0.000
1.543 0.000 1.804
1.543 0.000 6.623
0.000 0.000 4.214
```

---

The following is a DFT calculation (PBEsol) of an optimized crystal structure of Cd2IrPtN.

As for the symmetry: P4/mmm. The calculation puts the density of states at the Fermi level at 1.243 states/eV per atom. For the raw formation energy, the calculation gives 0.965 eV per atom.

Cell and atoms, written as POSCAR:
```
Cd2IrPtN
1.0
5.212 0.000 0.000
0.000 5.212 0.000
0.000 0.000 3.544
Cd Ir Pt N
2 1 1 1
Cartesian
0.000 2.606 0.000
2.606 0.000 0.000
0.000 0.000 1.772
2.606 2.606 0.000
2.606 2.606 1.772
```